[1]
BiOs2W after structural relaxation. Source: the Open Quantum Materials Database, functional PBE-GGA.

Summary:
Total energy ... -35.30 eV/f.u.

a b c (Å): 4.593 4.593 4.593
angles (deg): 60.00 60.00 60.00
Positions (direct):
Bi  0.000  0.000  0.000
Os  0.500  0.500  0.500
Os  0.750  0.750  0.750
W  0.250  0.250  0.250



[2]
HfZrCd4 after structural relaxation. Source: the Open Quantum Materials Database, functional PBE-GGA.

Summary:
E_form ... -12 meV/atom
Total energy ... -22.15 eV/f.u.

a b c (Å): 3.304 3.304 11.371
angles (deg): 90.00 90.00 90.00
Positions (direct):
Hf  0.000  0.000  0.000
Zr  0.500  0.500  0.500
Cd  0.000  0.000  0.328
Cd  0.000  0.000  0.672
Cd  0.500  0.500  0.170
Cd  0.500  0.500  0.830



[3]
SrZnSO after structural relaxation. Source: the Open Quantum Materials Database, functional PBE-GGA.

Summary:
Total energy ... -19.17 eV/f.u.

a b c (Å): 6.046 8.909 5.832
angles (deg): 90.00 90.00 90.00
Positions (direct):
Sr  0.003  0.178  0.000
Sr  0.497  0.178  0.500
Sr  0.503  0.822  0.000
Sr  0.997  0.822  0.500
Zn  0.093  0.577  0.938
Zn  0.407  0.577  0.438
Zn  0.593  0.423  0.938
Zn  0.907  0.423  0.438
S  0.002  0.163  0.500
S  0.498  0.163  0.000
S  0.502  0.837  0.500
S  0.998  0.837  0.000
O  0.108  0.565  0.590
O  0.392  0.565  0.090
O  0.608  0.435  0.590
O  0.892  0.435  0.090